First-principles (PBE-GGA) data for a relaxed structure of Ca2CuPbCl8, as listed in Alexandria via LeMat-Bulk.

Lattice parameters (Å, degrees): 6.649 6.274 8.152 90.00 90.00 87.20
Site moments in Bohr magnetons follow the coordinates.
Positions (direct):
Ca  0.500  0.500  0.767  0.00
Ca  0.500  0.500  0.233  0.00
Cu  0.000  0.000  0.000  0.55
Pb  0.000  0.000  0.500  0.00
Cl  0.151  0.785  0.206  0.09
Cl  0.664  0.733  0.000  0.00
Cl  0.849  0.215  0.206  0.09
Cl  0.849  0.215  0.794  0.09
Cl  0.336  0.267  0.000  0.00
Cl  0.151  0.785  0.794  0.09
Cl  0.667  0.706  0.500  0.01
Cl  0.333  0.294  0.500  0.01

## Properties
Energy relative to the elements, uncorrected   -1.5502 eV per atom
Density   3.1 g/cm3
Density of states at the Fermi level   0.36 states/eV per cell
Calculated volume   339.60 Å³ per cell
Space group   P2/m (10)